[1]
A geometry-optimized KRb2AsBr6 structure. Source: the Alexandria database, functional PBE.

Results
DOS(E_F)   0.00 states/eV per cell
ΔE_f (raw)   -1.23 eV/atom
Energy above the lowest structure with this stoichiometry   0.0 meV per atom

```
20
Lattice="-3.016 -2.410 -6.959 -3.449 -6.575 3.771 -9.413 6.129 2.075" Properties=species:S:1:pos:R:3 pbc="T T T"
As -6.215 1.859 -2.442
As -1.725 -3.287 1.886
Br -1.796 -1.592 -0.207
Br -14.083 -1.264 -0.906
Br -6.639 -4.264 -3.836
Br -11.384 -2.942 2.372
Br -12.263 1.955 -1.853
Br -10.339 -3.922 -1.145
Br -4.495 0.086 -3.485
Br -8.155 -0.009 -2.491
Br -5.539 1.066 0.032
Br -3.615 -4.811 0.740
Br -9.240 1.408 2.722
Br -7.723 -2.847 1.378
Rb -10.275 1.783 -4.970
Rb -5.603 -4.638 3.857
Rb -10.589 -0.435 0.071
Rb -5.290 -2.421 -1.184
K -1.508 -1.205 -3.480
K -6.431 -0.223 2.923
```


[2]
A geometry-optimized Li2Sb2Mo structure. Source: the Alexandria database, functional PBE.

Results
DOS(E_F)   4.33 states/eV per cell
ΔE_f (raw)   -0.04 eV/atom

```
10
Lattice="-2.470 6.401 -1.909 -2.326 1.084 6.643 3.440 1.609 0.942" Properties=species:S:1:pos:R:3 pbc="T T T"
Sb -3.611 6.126 2.726
Sb -2.825 3.135 4.962
Sb -1.972 4.350 -0.227
Sb -1.185 1.358 2.008
Li -1.170 6.587 1.150
Li -1.863 5.913 4.834
Li -0.186 2.506 4.527
Li 0.507 3.181 0.842
Mo -2.398 3.742 2.367
Mo 0.000 0.000 0.000
```


[3]
A geometry-optimized AcTb5Y3 structure. Source: the Alexandria database, functional PBE.

Results
Energy of formation from the pure elements   0.51 eV/atom
DOS(E_F)   27.66 states/eV per cell
Energy above the lowest structure with this stoichiometry   364.4 meV per atom

```
18
Lattice="-7.917 2.710 -4.705 -6.848 -6.346 2.233 -10.670 2.296 4.641" Properties=species:S:1:pos:R:3 pbc="T T T"
Tb -11.896 0.605 -2.131
Tb -3.130 -0.555 -0.242
Tb -14.077 2.604 0.815
Tb -9.825 -1.308 -0.193
Tb -11.358 -3.945 1.355
Tb -7.124 -4.014 0.446
Tb -22.306 -0.785 2.412
Tb -13.540 -1.945 4.301
Tb -7.642 0.378 -2.918
Tb -15.611 -0.032 2.363
Y -6.526 -0.736 0.045
Y -5.335 1.148 2.321
Y -13.481 -1.571 0.027
Y -11.955 0.230 2.143
Y 0.000 0.000 0.000
Y -18.910 -0.604 2.125
Ac -16.762 -2.100 -0.159
Ac -8.674 0.760 2.328
```


[4]
A geometry-optimized Eu2DyZn structure. Source: the Alexandria database, functional PBE.

Results
Energy of formation from the pure elements   -0.06 eV/atom
DOS(E_F)   4.01 states/eV per cell
Energy above the lowest structure with this stoichiometry   0.0 meV per atom

```
4
Lattice="-1.124 0.086 -3.539 1.417 -3.391 -0.533 -7.932 -3.697 2.430" Properties=species:S:1:pos:R:3 pbc="T T T"
Dy -3.820 -3.501 -0.821
Eu -1.635 -0.762 0.501
Eu -6.298 -2.935 1.929
Zn 0.147 -1.653 -2.036
```


[5]
A geometry-optimized Nd11Sm9Er4 structure. Source: the Alexandria database, functional PBE.

Results
Energy of formation from the pure elements   0.05 eV/atom
DOS(E_F)   31.59 states/eV per cell

```
24
Lattice="3.682 0.000 0.000 0.000 14.341 -6.199 0.000 -0.064 15.624" Properties=species:S:1:pos:R:3 pbc="T T T"
Nd 0.000 4.162 2.747
Nd 0.000 10.115 6.677
Nd 0.000 9.018 1.865
Nd 0.000 8.495 11.268
Nd 0.000 5.782 -1.844
Nd 0.000 2.277 12.077
Nd 0.000 12.000 -2.653
Nd 0.000 0.577 6.042
Nd 0.000 5.259 7.560
Nd 0.000 0.000 0.000
Nd 0.000 13.700 3.383
Sm 1.841 2.336 8.788
Sm 1.841 7.139 4.712
Sm 1.841 0.927 2.930
Sm 1.841 8.999 -1.305
Sm 1.841 5.278 10.730
Sm 1.841 13.350 6.495
Sm 1.841 3.058 -0.299
Sm 1.841 11.219 9.724
Sm 1.841 11.941 0.637
Er 1.841 6.344 1.002
Er 1.841 3.414 5.440
Er 1.841 10.863 3.985
Er 1.841 7.933 8.423
```


[6]
A geometry-optimized Pm5Ni2Sn structure. Source: the Alexandria database, functional PBE.

Results
Energy of formation from the pure elements   -0.39 eV/atom
DOS(E_F)   15.52 states/eV per cell

```
16
Lattice="-7.625 -1.964 0.691 0.794 -0.320 7.858 1.765 7.701 -3.841" Properties=species:S:1:pos:R:3 pbc="T T T"
Sn -4.241 2.137 4.491
Sn -0.825 3.279 0.217
Pm -6.598 0.038 3.383
Pm -1.139 1.278 5.404
Pm 1.532 5.379 1.325
Pm -3.927 4.139 -0.696
Pm 0.000 0.000 0.000
Pm -0.259 5.180 -2.478
Pm -2.930 1.078 1.601
Pm -3.416 -1.142 4.274
Pm -2.136 4.339 3.107
Pm -4.807 0.237 7.186
Ni -6.164 -1.916 5.526
Ni -4.676 -1.271 1.426
Ni -2.155 -1.013 7.123
Ni -0.667 -0.368 3.023
```


One value per record, in order, for total energy: -0.2206 -0.3394 -0.3434 -0.4897 -0.3425 -0.3898 Ry/atom.